This record from the Alexandria database describes a relaxed Tm2Mg2Ag3 crystal. The functional is GGA-PBE.

Cell: 4.778 4.787 8.609 Å, 90.00 105.97 120.06°
Positions (direct):
Tm (0.752, 0.876, 0.630)
Ag (0.503, 0.251, 0.754)
Ag (0.000, 0.000, 0.000)
Ag (0.497, 0.749, 0.246)
Tm (0.248, 0.124, 0.370)
Mg (0.257, 0.629, 0.886)
Mg (0.743, 0.371, 0.114)

## Properties
- DFT formation energy: -162 meV/atom